Below is a relaxed MgZn2CoO4 crystal, with properties calculated at the GGA+U level.

It has space group I-4m2 (No. 119), with a = 4.277 Å, b = 4.277 Å, c = 8.743 Å, α = 90.00°, β = 90.00° and γ = 90.00°. The asymmetric unit holds Mg at (0.000, 0.000, 0.000), Zn at (0.000, 0.000, 0.500), Zn at (0.000, 0.500, 0.250), Co at (0.000, 0.500, 0.750), O at (0.000, 0.000, 0.245) and O at (0.000, 0.500, 0.002).

The total DFT energy (no corrections) comes out at -5.190 eV per atom.